[1]
Computed, not measured: Eu2DySc after structural relaxation at the PBE level of DFT.

Summary:
Space-group type: No. 166
M_tot, μB/f.u.: 14.75
VASP energy, eV/cell: -30.3
Energy relative to the elements, eV per atom: 0.294
Energy relative to the lowest polymorph listed for this composition, meV/atom: 123
Density, g/cm3: 6.455

```
data_Eu2DySc
_chemical_formula_sum 'Eu2 Dy1 Sc1'
_symmetry_space_group_name_H-M 'P 1'
_symmetry_Int_Tables_number 1
_cell_length_a 3.4889
_cell_length_b 3.4889
_cell_length_c 12.6409
_cell_angle_alpha 82.07
_cell_angle_beta 82.07
_cell_angle_gamma 60.00
loop_
_symmetry_equiv_pos_as_xyz
'x,y,z'
loop_
_atom_site_label
_atom_site_fract_x
_atom_site_fract_y
_atom_site_fract_z
Eu1 0.9158 0.9158 0.2525
Sc1 0.0000 0.0000 0.0000
Dy1 0.5000 0.5000 0.5000
Eu2 0.0842 0.0842 0.7475
```

=====

[2]
Computed, not measured: AcPrY after structural relaxation at the PBE level of DFT.

Summary:
Space-group type: No. 107
M_tot, μB/f.u.: 0.00
VASP energy, eV/cell: -15.2
Energy relative to the elements, eV per atom: 0.041
Energy relative to the lowest polymorph listed for this composition, meV/atom: 9
Density, g/cm3: 6.707

```
data_AcPrY
_chemical_formula_sum 'Ac1 Pr1 Y1'
_symmetry_space_group_name_H-M 'P 1'
_symmetry_Int_Tables_number 1
_cell_length_a 3.7976
_cell_length_b 3.7976
_cell_length_c 8.2892
_cell_angle_alpha 103.24
_cell_angle_beta 103.24
_cell_angle_gamma 90.00
loop_
_symmetry_equiv_pos_as_xyz
'x,y,z'
loop_
_atom_site_label
_atom_site_fract_x
_atom_site_fract_y
_atom_site_fract_z
Pr1 0.6723 0.6723 0.3446
Ac1 0.9986 0.9986 0.9972
Y1 0.3291 0.3291 0.6582
```

=====

[3]
Computed, not measured: NaUIn2Cl6 after structural relaxation at the PBE level of DFT.

Summary:
Space-group type: No. 146
M_tot, μB/f.u.: 3.00
Energy relative to the elements, uncorrected, meV/atom: -1360
VASP energy, eV/cell: -42.8
Density, g/cm3: 3.618

```
data_NaUIn2Cl6
_chemical_formula_sum 'Na1 U1 In2 Cl6'
_symmetry_space_group_name_H-M 'P 1'
_symmetry_Int_Tables_number 1
_cell_length_a 7.6632
_cell_length_b 7.6628
_cell_length_c 7.7400
_cell_angle_alpha 89.97
_cell_angle_beta 119.69
_cell_angle_gamma 120.02
loop_
_symmetry_equiv_pos_as_xyz
'x,y,z'
loop_
_atom_site_label
_atom_site_fract_x
_atom_site_fract_y
_atom_site_fract_z
Cl1 0.8847 0.7268 0.1949
In1 0.5577 0.7784 0.3225
U1 0.9922 0.9955 0.9735
Cl2 0.0521 0.2123 0.6998
Cl3 0.0526 0.3240 0.1956
Na1 0.9997 0.4993 0.4848
Cl4 0.4823 0.1569 0.1956
Cl5 0.5016 0.8388 0.6989
In2 0.5677 0.2835 0.8374
Cl6 0.8751 0.6621 0.6995
```

=====

[4]
Computed, not measured: RbAgS2O8 after structural relaxation at the PBE level of DFT.

Summary:
Space-group type: No. 147
M_tot, μB/f.u.: 2.04
Energy relative to the elements, uncorrected, meV/atom: -1174
VASP energy, eV/cell: -65.8
Density, g/cm3: 3.352

```
data_RbAgS2O8
_chemical_formula_sum 'Rb1 Ag1 S2 O8'
_symmetry_space_group_name_H-M 'P 1'
_symmetry_Int_Tables_number 1
_cell_length_a 5.0140
_cell_length_b 5.0140
_cell_length_c 8.7693
_cell_angle_alpha 90.00
_cell_angle_beta 90.00
_cell_angle_gamma 120.00
loop_
_symmetry_equiv_pos_as_xyz
'x,y,z'
loop_
_atom_site_label
_atom_site_fract_x
_atom_site_fract_y
_atom_site_fract_z
O1 0.3752 0.3159 0.3381
O2 0.6841 0.0593 0.3381
Rb1 0.0000 0.0000 0.0000
S1 0.6667 0.3333 0.2839
O3 0.9407 0.6248 0.3381
Ag1 0.0000 0.0000 0.5000
O4 0.6667 0.3333 0.1155
O5 0.3159 0.9407 0.6619
S2 0.3333 0.6667 0.7161
O6 0.3333 0.6667 0.8845
O7 0.6248 0.6841 0.6619
O8 0.0593 0.3752 0.6619
```

=====

[5]
Computed, not measured: Tl2Hg3H4 after structural relaxation at the PBE level of DFT.

Summary:
Space-group type: No. 15
M_tot, μB/f.u.: 0.00
VASP energy, eV/cell: -32.9
Density, g/cm3: 8.829

```
data_Tl2Hg3H4
_chemical_formula_sum 'Tl4 Hg6 H8'
_symmetry_space_group_name_H-M 'P 1'
_symmetry_Int_Tables_number 1
_cell_length_a 8.2989
_cell_length_b 10.8309
_cell_length_c 10.8307
_cell_angle_alpha 29.06
_cell_angle_beta 55.14
_cell_angle_gamma 55.14
loop_
_symmetry_equiv_pos_as_xyz
'x,y,z'
loop_
_atom_site_label
_atom_site_fract_x
_atom_site_fract_y
_atom_site_fract_z
Hg1 0.8247 0.8356 0.8693
Hg2 0.1753 0.1644 0.1307
Hg3 0.6753 0.1308 0.1644
H1 0.4979 0.2599 0.6490
Tl1 0.3138 0.6586 0.7127
H2 0.5888 0.4034 0.8469
Hg4 0.7500 0.6905 0.3095
H3 0.4112 0.5966 0.1531
Tl2 0.8138 0.7127 0.6586
H4 0.9978 0.6490 0.2599
Hg5 0.2500 0.3095 0.6905
H5 0.0888 0.8469 0.4033
H6 0.9112 0.1531 0.5967
H7 0.0022 0.3510 0.7401
Hg6 0.3247 0.8692 0.8356
Tl3 0.1862 0.2873 0.3414
Tl4 0.6862 0.3414 0.2873
H8 0.5021 0.7401 0.3510
```

=====

[6]
Computed, not measured: ZnCO3 after structural relaxation at the PBE level of DFT.

Summary:
Space-group type: No. 62
M_tot, μB/f.u.: 0.00
Energy relative to the elements, uncorrected, meV/atom: -1214
VASP energy, eV/cell: -125.8
Density, g/cm3: 3.583

```
data_ZnCO3
_chemical_formula_sum 'Zn4 C4 O12'
_symmetry_space_group_name_H-M 'P 1'
_symmetry_Int_Tables_number 1
_cell_length_a 4.3389
_cell_length_b 6.8820
_cell_length_c 7.7872
_cell_angle_alpha 90.00
_cell_angle_beta 90.00
_cell_angle_gamma 90.00
loop_
_symmetry_equiv_pos_as_xyz
'x,y,z'
loop_
_atom_site_label
_atom_site_fract_x
_atom_site_fract_y
_atom_site_fract_z
O1 0.2610 0.9878 0.2500
O2 0.8593 0.1134 0.3945
Zn1 0.0000 0.5000 0.0000
C1 0.4880 0.4312 0.2500
O3 0.1407 0.8866 0.6055
O4 0.7390 0.0122 0.7500
O5 0.3593 0.3866 0.1055
C2 0.9880 0.0688 0.2500
C3 0.0120 0.9312 0.7500
O6 0.8593 0.1134 0.1055
O7 0.2390 0.4878 0.7500
Zn2 0.5000 0.0000 0.0000
O8 0.3593 0.3866 0.3945
O9 0.6407 0.6134 0.6055
O10 0.1407 0.8866 0.8945
Zn3 0.0000 0.5000 0.5000
Zn4 0.5000 0.0000 0.5000
C4 0.5120 0.5688 0.7500
O11 0.7610 0.5122 0.2500
O12 0.6407 0.6134 0.8945
```